# AlCu2W

A geometry-optimized AlCu2W structure (PBE, Alexandria via LeMat-Bulk).

total DFT energy (no corrections): -24.22 eV for the cell shown
calculated formation energy: 64.3 kJ/mol of formula units
space-group type: C2/m, No. 12

Structure (extended XYZ):
```
4
Lattice="-0.390 0.528 -4.650 -2.844 -0.086 -3.736 -1.242 4.557 -0.275" Properties=species:S:1:pos:R:3 pbc="T T T"
W -3.357 3.749 -6.496
Al -1.119 1.250 -2.165
Cu -2.255 2.518 -4.364
Cu -4.459 4.980 -8.627
```